DFT (PBE-GGA) results for crystalline Tm5HfPt6 at its relaxed geometry.

## Properties
Total DFT energy (no corrections): -6.950 eV per atom
DOS at the Fermi energy: 7.291 states/eV/f.u.
V: 20.25 Å³ per atom

Unit cell a=4.8259 b=6.8654 c=8.4398 alpha=66.00 beta=73.60 gamma=90.00
Element x y z (fractional)
1 Tm 0.6703 0.1705 0.6590
2 Tm 0.3360 0.3349 0.3302
3 Tm 0.0000 0.5000 0.0000
4 Tm 0.6640 0.6651 0.6698
5 Tm 0.3297 0.8295 0.3410
6 Hf 0.0000 0.0000 0.0000
7 Pt 0.8462 0.6065 0.3096
8 Pt 0.8462 0.0839 0.3097
9 Pt 0.5000 0.7718 0.0000
10 Pt 0.5000 0.2282 0.0000
11 Pt 0.1538 0.9161 0.6903
12 Pt 0.1538 0.3935 0.6904

DFT (PBE-GGA) results for crystalline Ac3TaCl2O6 at its relaxed geometry.

## Properties
Total DFT energy (no corrections): -7.527 eV per atom
DOS at the Fermi energy: 0.000 states/eV/f.u.
E_form (uncorrected): -2.725 eV/atom
V: 20.67 Å³ per atom

Unit cell a=5.8258 b=6.9316 c=7.1090 alpha=119.18 beta=82.81 gamma=90.00
Element x y z (fractional)
1 Ac 0.0000 0.5000 0.0000
2 Ac 0.5000 0.5000 0.5000
3 Ac 0.5000 0.0000 0.5000
4 Ta 0.5000 0.0000 0.0000
5 Cl 0.1109 0.7177 0.4355
6 Cl 0.8891 0.2823 0.5645
7 O 0.6917 0.2823 0.1142
8 O 0.3083 0.7177 0.8858
9 O 0.6637 0.8478 0.6955
10 O 0.3363 0.1522 0.3045
11 O 0.3083 0.1681 0.8858
12 O 0.6917 0.8319 0.1142

DFT (PBE-GGA) results for crystalline LaScCu2 at its relaxed geometry.

## Properties
Total DFT energy (no corrections): -4.809 eV per atom
Energy above the lowest structure with this stoichiometry: 0.245 eV per atom
DOS at the Fermi energy: 3.760 states/eV/f.u.
V: 22.72 Å³ per atom

Unit cell a=7.8227 b=7.8227 c=7.8227 alpha=27.63 beta=27.63 gamma=27.63
Element x y z (fractional)
1 Cu 0.0094 0.0094 0.0094
2 Cu 0.4906 0.4906 0.4906
3 La 0.2500 0.2500 0.2500
4 Sc 0.7500 0.7500 0.7500

DFT (PBE-GGA) results for crystalline NaVRe3 at its relaxed geometry.

## Properties
Total DFT energy (no corrections): -7.843 eV per atom
Energy above the lowest structure with this stoichiometry: 0.000 eV per atom
DOS at the Fermi energy: 4.435 states/eV/f.u.
V: 19.14 Å³ per atom

Unit cell a=4.5739 b=4.5739 c=4.5739 alpha=90.00 beta=90.00 gamma=90.00
Element x y z (fractional)
1 Re 0.0000 0.5000 0.0000
2 Re 0.0000 0.0000 0.5000
3 Re 0.5000 0.0000 0.0000
4 V 0.0000 0.0000 0.0000
5 Na 0.5000 0.5000 0.5000

DFT (PBE-GGA) results for crystalline Pr6Rh3Pb at its relaxed geometry.

## Properties
Total DFT energy (no corrections): -5.966 eV per atom
DOS at the Fermi energy: 7.043 states/eV/f.u.
V: 30.21 Å³ per atom

Unit cell a=4.2084 b=12.0569 c=12.4904 alpha=107.54 beta=90.00 gamma=90.00
Element x y z (fractional)
1 Pr 0.7500 0.4777 0.6130
2 Pr 0.2500 0.5223 0.3870
3 Pr 0.7500 0.9236 0.0886
4 Pr 0.2500 0.0764 0.9114
5 Pr 0.7500 0.3888 0.0500
6 Pr 0.2500 0.6112 0.9500
7 Pr 0.7500 0.7087 0.2618
8 Pr 0.2500 0.2913 0.7382
9 Pr 0.7500 0.1473 0.4692
10 Pr 0.2500 0.8527 0.5308
11 Pr 0.7500 0.7948 0.7641
12 Pr 0.2500 0.2052 0.2359
13 Rh 0.7500 0.4562 0.8380
14 Rh 0.2500 0.5438 0.1620
15 Rh 0.7500 0.6757 0.4973
16 Rh 0.2500 0.3243 0.5027
17 Rh 0.7500 0.1570 0.0795
18 Rh 0.2500 0.8430 0.9205
19 Pb 0.7500 0.0513 0.6919
20 Pb 0.2500 0.9487 0.3081

DFT (PBE-GGA) results for crystalline BeCdRu2Rh at its relaxed geometry.

## Properties
Total DFT energy (no corrections): -5.699 eV per atom
DOS at the Fermi energy: 5.169 states/eV/f.u.
V: 14.72 Å³ per atom

Unit cell a=4.1842 b=4.2037 c=4.1842 alpha=90.00 beta=90.00 gamma=90.00
Element x y z (fractional)
1 Ru 0.0000 0.0000 0.5000
2 Ru 0.5000 0.0000 0.0000
3 Rh 0.0000 0.5000 0.0000
4 Be 0.0000 0.0000 0.0000
5 Cd 0.5000 0.5000 0.5000

DFT (PBE-GGA) results for crystalline CrRh2I at its relaxed geometry.

## Properties
Total DFT energy (no corrections): -5.943 eV per atom
Energy above the lowest structure with this stoichiometry: 0.000 eV per atom
DOS at the Fermi energy: 3.869 states/eV/f.u.
E_form (uncorrected): 0.526 eV/atom
V: 16.64 Å³ per atom

Unit cell a=4.5492 b=4.5492 c=4.5492 alpha=60.00 beta=60.00 gamma=60.00
Element x y z (fractional)
1 I 0.5000 0.5000 0.5000
2 Cr 0.0000 0.0000 0.0000
3 Rh 0.2500 0.2500 0.2500
4 Rh 0.7500 0.7500 0.7500

DFT (PBE-GGA) results for crystalline Hf3Re2Au at its relaxed geometry.

## Properties
Total DFT energy (no corrections): -10.116 eV per atom
DOS at the Fermi energy: 4.176 states/eV/f.u.
V: 18.30 Å³ per atom

Unit cell a=3.3239 b=3.3239 c=9.9396 alpha=90.00 beta=90.00 gamma=90.00
Element x y z (fractional)
1 Hf 0.0000 0.0000 0.0000
2 Hf 0.0000 0.0000 0.6814
3 Hf 0.0000 0.0000 0.3186
4 Re 0.5000 0.5000 0.8324
5 Re 0.5000 0.5000 0.1676
6 Au 0.5000 0.5000 0.5000

DFT (PBE-GGA) results for crystalline SiSeCl at its relaxed geometry.

## Properties
Total DFT energy (no corrections): -3.449 eV per atom
Energy above the lowest structure with this stoichiometry: 0.706 eV per atom
DOS at the Fermi energy: 0.879 states/eV/f.u.
E_form (uncorrected): 0.136 eV/atom
V: 22.86 Å³ per atom

Unit cell a=6.9990 b=6.9990 c=6.9990 alpha=153.41 beta=153.41 gamma=37.95
Element x y z (fractional)
1 Cl 0.0405 0.0405 0.0000
2 Se 0.2830 0.2830 0.0000
3 Si 0.6765 0.6765 0.0000

DFT (PBE-GGA) results for crystalline Ca4As6Rh7 at its relaxed geometry.

## Properties
Total DFT energy (no corrections): -5.976 eV per atom
DOS at the Fermi energy: 9.806 states/eV/f.u.
V: 17.47 Å³ per atom

Unit cell a=7.2798 b=7.2798 c=7.2798 alpha=109.47 beta=109.47 gamma=109.47
Element x y z (fractional)
1 Ca 0.5000 0.0000 0.0000
2 Ca 0.5000 0.5000 0.5000
3 Ca 0.0000 0.5000 0.0000
4 Ca 0.0000 0.0000 0.5000
5 As 0.6779 0.0000 0.6779
6 As 0.6779 0.6779 0.0000
7 As 0.0000 0.3221 0.3221
8 As 0.3221 0.0000 0.3221
9 As 0.3221 0.3221 0.0000
10 As 0.0000 0.6779 0.6779
11 Rh 0.7500 0.5000 0.2500
12 Rh 0.2500 0.7500 0.5000
13 Rh 0.5000 0.7500 0.2500
14 Rh 0.7500 0.2500 0.5000
15 Rh 0.2500 0.5000 0.7500
16 Rh 0.5000 0.2500 0.7500
17 Rh 0.0000 0.0000 0.0000

DFT (PBE-GGA) results for crystalline Sr2SbPt at its relaxed geometry.

## Properties
Total DFT energy (no corrections): -4.178 eV per atom
DOS at the Fermi energy: 0.986 states/eV/f.u.
E_form (uncorrected): -0.796 eV/atom
V: 28.75 Å³ per atom

Unit cell a=3.8019 b=3.6290 c=9.0895 alpha=66.50 beta=90.00 gamma=90.00
Element x y z (fractional)
1 Pt 0.5000 0.2500 0.2500
2 Sb 0.5000 0.7500 0.7500
3 Sr 0.0000 0.9704 0.0296
4 Sr 0.0000 0.5296 0.4704

DFT (PBE-GGA) results for crystalline Rb3TiCr at its relaxed geometry.

## Properties
Total DFT energy (no corrections): -2.668 eV per atom
Energy above the lowest structure with this stoichiometry: 0.000 eV per atom
DOS at the Fermi energy: 15.929 states/eV/f.u.
V: 65.36 Å³ per atom

Unit cell a=6.8881 b=6.8881 c=6.8881 alpha=90.00 beta=90.00 gamma=90.00
Element x y z (fractional)
1 Cr 0.0000 0.0000 0.0000
2 Rb 0.0000 0.5000 0.0000
3 Rb 0.0000 0.0000 0.5000
4 Rb 0.5000 0.0000 0.0000
5 Ti 0.5000 0.5000 0.5000

DFT (PBE-GGA) results for crystalline Ac8Cd2Ru3 at its relaxed geometry.

## Properties
Total DFT energy (no corrections): -4.848 eV per atom
DOS at the Fermi energy: 12.558 states/eV/f.u.
V: 35.07 Å³ per atom

Unit cell a=9.6523 b=9.6523 c=5.2889 alpha=90.00 beta=90.00 gamma=112.29
Element x y z (fractional)
1 Ac 0.3895 0.6105 0.0000
2 Ac 0.6105 0.3895 0.0000
3 Ac 0.8904 0.1096 0.0000
4 Ac 0.1096 0.8904 0.0000
5 Ac 0.8665 0.6456 0.5000
6 Ac 0.3544 0.1335 0.5000
7 Ac 0.6456 0.8665 0.5000
8 Ac 0.1335 0.3544 0.5000
9 Cd 0.7441 0.2559 0.5000
10 Cd 0.2559 0.7441 0.5000
11 Ru 0.0000 0.0000 0.5000
12 Ru 0.2655 0.2655 0.0000
13 Ru 0.7345 0.7345 0.0000

DFT (PBE-GGA) results for crystalline Ce2PrBe at its relaxed geometry.

## Properties
Total DFT energy (no corrections): -4.326 eV per atom
DOS at the Fermi energy: 9.931 states/eV/f.u.
V: 26.27 Å³ per atom

Unit cell a=3.1760 b=3.1760 c=12.1682 alpha=82.50 beta=82.50 gamma=60.00
Element x y z (fractional)
1 Pr 0.5000 0.5000 0.5000
2 Be 0.0000 0.0000 0.0000
3 Ce 0.0803 0.0803 0.7591
4 Ce 0.9197 0.9197 0.2409

DFT (PBE-GGA) results for crystalline LiNd4Y3Te8 at its relaxed geometry.

## Properties
Total DFT energy (no corrections): -5.465 eV per atom
DOS at the Fermi energy: 8.106 states/eV/f.u.
E_form (uncorrected): -1.370 eV/atom
V: 30.54 Å³ per atom

Unit cell a=8.8068 b=8.8765 c=8.8068 alpha=119.74 beta=120.00 gamma=90.00
Element x y z (fractional)
1 Li 0.0000 0.5000 0.0000
2 Nd 0.5000 0.0000 0.0000
3 Nd 0.5000 0.0000 0.5000
4 Nd 0.0000 0.0000 0.0000
5 Nd 0.0000 0.0000 0.5000
6 Y 0.5000 0.5000 0.0000
7 Y 0.5000 0.5000 0.5000
8 Y 0.0000 0.5000 0.5000
9 Te 0.2411 0.7339 0.9928
10 Te 0.2411 0.7339 0.4823
11 Te 0.2536 0.2609 0.5073
12 Te 0.7517 0.7339 0.9928
13 Te 0.2483 0.2661 0.0072
14 Te 0.7464 0.7391 0.4927
15 Te 0.7589 0.2661 0.5177
16 Te 0.7589 0.2661 0.0072

DFT (PBE-GGA) results for crystalline TeSI at its relaxed geometry.

## Properties
Total DFT energy (no corrections): -2.927 eV per atom
Energy above the lowest structure with this stoichiometry: 0.000 eV per atom
E_form (uncorrected): 0.013 eV/atom
V: 42.42 Å³ per atom

Unit cell a=8.2025 b=8.6753 c=8.2380 alpha=119.73 beta=90.00 gamma=90.00
Element x y z (fractional)
1 Te 0.9298 0.2730 0.9716
2 Te 0.4298 0.2270 0.0284
3 Te 0.0702 0.7270 0.0284
4 Te 0.5702 0.7730 0.9716
5 S 0.6287 0.1672 0.1822
6 S 0.1287 0.3328 0.8178
7 S 0.3713 0.8328 0.8178
8 S 0.8713 0.6672 0.1822
9 I 0.6442 0.2156 0.7128
10 I 0.1442 0.2844 0.2872
11 I 0.3558 0.7844 0.2872
12 I 0.8558 0.7156 0.7128

DFT (PBE-GGA) results for crystalline TeRh2Se at its relaxed geometry.

## Properties
Total DFT energy (no corrections): -5.405 eV per atom
Energy above the lowest structure with this stoichiometry: 0.208 eV per atom
DOS at the Fermi energy: 2.868 states/eV/f.u.
E_form (uncorrected): -0.073 eV/atom
V: 18.74 Å³ per atom

Unit cell a=4.0637 b=4.0637 c=6.0988 alpha=75.47 beta=75.47 gamma=50.79
Element x y z (fractional)
1 Rh 0.0035 0.0035 0.9431
2 Rh 0.4965 0.4965 0.5569
3 Se 0.7500 0.7500 0.7500
4 Te 0.2500 0.2500 0.2500

DFT (PBE-GGA) results for crystalline LiMg2P at its relaxed geometry.

## Properties
Total DFT energy (no corrections): -2.828 eV per atom
DOS at the Fermi energy: 1.249 states/eV/f.u.
V: 17.76 Å³ per atom

Unit cell a=5.1052 b=5.1052 c=5.1052 alpha=132.47 beta=132.47 gamma=69.49
Element x y z (fractional)
1 Li 0.7500 0.2500 0.5000
2 Mg 0.0000 0.0000 0.0000
3 Mg 0.5000 0.5000 0.0000
4 P 0.2500 0.7500 0.5000